# GaNi2SCl, optimized geometry, DFT PBEsol
# Total moment in μB/f.u.: 0.9
# Formation energy (no corrections) in eV/atom: 0.849
# DOS at the Fermi energy in states/eV/atom: 1.657
# Raw total energy in eV per atom: -3.560
data_GaNi2SCl
_cell_length_a 4.604
_cell_length_b 4.604
_cell_length_c 4.352
_cell_angle_alpha 90.00
_cell_angle_beta 90.00
_cell_angle_gamma 90.00
_space_group_name_H-M_alt 'P 4/m m m'
_space_group_IT_number 123
_space_group_name_Hall '-P 4 2'
loop_
_atom_site_label
_atom_site_fract_x
_atom_site_fract_y
_atom_site_fract_z
Ga1 0.000 0.000 0.000
Ni1 0.000 0.500 0.000
S1 0.000 0.000 0.500
Cl1 0.500 0.500 0.500